Record 1
TlI2F PBE-GGA optimized geometry; total DFT energy (no corrections) = -2.2139 eV/atom; excess energy over the best structure of this formula in the dataset = 0.00 eV/f.u.; formation energy from raw total energies = -1.52 eV per formula unit; total magnetic moment = 0.00 μB/cell
1.0
-5.447 2.073 -5.072
-3.040 -7.094 0.365
-6.730 -1.282 0.818
I Tl F
4 2 2
Direct
0.875 0.870 0.750
0.620 0.125 0.250
0.130 0.625 0.250
0.375 0.380 0.750
0.000 0.000 0.000
0.750 0.250 0.500
0.250 0.750 0.500
0.500 0.500 0.000

---

Record 2
UTlI2F6 PBE-GGA optimized geometry; total DFT energy (no corrections) = -5.1159 eV/atom; formation energy from raw total energies = -23.18 eV per formula unit; total magnetic moment = 1.96 μB/cell
1.0
-4.998 2.685 4.484
4.195 -1.645 5.659
1.803 5.116 4.791
Tl F I U
1 6 2 1
Direct
0.000 0.000 0.000
0.298 0.298 0.404
0.702 0.702 0.999
0.702 0.702 0.596
0.299 0.702 0.000
0.701 0.298 0.000
0.298 0.298 0.001
0.251 0.749 0.500
0.749 0.251 0.500
0.500 0.500 0.000